Here is a relaxed YSc4Cu5 crystal from the Alexandria database. Energies are from PBE.

Results
- formation enthalpy at 0 K (eV per atom) = -0.2664
- crystal system = tetragonal
- magnetization (Bohr magnetons per cell) = 0.00

Lattice parameters (Å, degrees): 3.2828 3.2828 16.6942 90.00 90.00 90.00
Last column: nearest neighbours and their distance in Å.
Atoms (fractional coordinates):
Y  0.0000  0.0000  0.0000  8 Cu 3.02, 4 Y 3.28
Sc  0.0000  0.0000  0.2075  8 Cu 2.78-2.83
Sc  0.0000  0.0000  0.4027  8 Cu 2.83-2.84
Sc  0.0000  0.0000  0.5973  8 Cu 2.83-2.84
Sc  0.0000  0.0000  0.7925  8 Cu 2.78-2.83
Cu  0.5000  0.5000  0.1153  4 Sc 2.78, 4 Y 3.02
Cu  0.5000  0.5000  0.3044  8 Sc 2.83-2.84, 1 Cu 3.16
Cu  0.5000  0.5000  0.5000  8 Sc 2.83
Cu  0.5000  0.5000  0.6956  8 Sc 2.83-2.84, 1 Cu 3.16
Cu  0.5000  0.5000  0.8847  4 Sc 2.78, 4 Y 3.02

=====

Here is a relaxed ZrCdRu2 crystal from the Alexandria database. Energies are from PBE.

Results
- formation enthalpy at 0 K (eV per atom) = 0.0201
- crystal system = orthorhombic
- magnetization (Bohr magnetons per cell) = 0.00

Lattice parameters (Å, degrees): 2.9777 4.0185 5.7884 90.00 90.00 90.00
Last column: nearest neighbours and their distance in Å.
Atoms (fractional coordinates):
Zr  0.0000  0.0000  0.0000  5 Ru 2.58-2.84
Cd  0.5000  0.5000  0.2973  5 Ru 2.72-2.91, 2 Cd 2.98, 4 Zr 3.04
Ru  0.0000  0.0000  0.5544  1 Zr 2.58, 4 Ru 2.79
Ru  0.5000  0.5000  0.7679  1 Cd 2.72, 6 Ru 2.79-2.98, 4 Zr 2.84

=====

Here is a relaxed Cs2GaSe3 crystal from the Alexandria database. Energies are from PBE.

Results
- crystal system = monoclinic
- magnetization (Bohr magnetons per cell) = 0.00
- uncorrected formation energy (meV per atom) = -900.2

Lattice parameters (Å, degrees): 8.6096 8.6096 6.2084 92.63 92.63 72.03
Last column: nearest neighbours and their distance in Å.
Atoms (fractional coordinates):
Cs  0.0114  0.6897  0.7513  7 Se 3.62-3.95
Cs  0.3103  0.9886  0.7487  7 Se 3.62-3.95
Cs  0.6897  0.0114  0.2513  7 Se 3.62-3.95
Cs  0.9886  0.3103  0.2487  7 Se 3.62-3.95
Ga  0.3910  0.6090  0.2500  3 Se 2.36-2.44
Ga  0.6090  0.3910  0.7500  3 Se 2.36-2.44
Se  0.1581  0.8419  0.2500  1 Ga 2.36
Se  0.3635  0.3748  0.5491  1 Ga 2.44
Se  0.3748  0.3635  0.0491  1 Ga 2.44
Se  0.6252  0.6365  0.9509  1 Ga 2.44
Se  0.6365  0.6252  0.4509  1 Ga 2.44
Se  0.8419  0.1581  0.7500  1 Ga 2.36

=====

Here is a relaxed PmFeNiAs2 crystal from the Alexandria database. Energies are from PBE.

Results
- formation enthalpy at 0 K (eV per atom) = -0.7026
- crystal system = tetragonal
- magnetization (Bohr magnetons per cell) = 1.87

Lattice parameters (Å, degrees): 5.9162 5.9162 5.9162 140.05 140.05 57.78
Last column: nearest neighbours and their distance in Å.
Atoms (fractional coordinates):
Pm  0.0000  0.0000  0.0000  8 As 3.17, 4 Fe 3.29, 4 Ni 3.29
Fe  0.2500  0.7500  0.5000  4 As 2.36
Ni  0.7500  0.2500  0.5000  4 As 2.36
As  0.3675  0.3675  0.0000  2 Fe 2.36, 2 Ni 2.36
As  0.6325  0.6325  0.0000  2 Fe 2.36, 2 Ni 2.36

=====

Here is a relaxed LaDyHoS3 crystal from the Alexandria database. Energies are from PBE.

Results
- crystal system = monoclinic
- magnetization (Bohr magnetons per cell) = 0.00
- uncorrected formation energy (meV per atom) = -1991.6

Lattice parameters (Å, degrees): 6.8726 3.9172 10.3814 90.00 102.73 90.00
Last column: nearest neighbours and their distance in Å.
Atoms (fractional coordinates):
La  0.1539  0.2500  0.1933  7 S 2.95-3.01
La  0.8461  0.7500  0.8067  7 S 2.95-3.01
Dy  0.2668  0.7500  0.5554  6 S 2.75-2.82
Dy  0.7332  0.2500  0.4446  6 S 2.75-2.82
Ho  0.3738  0.2500  0.8667  5 S 2.69-2.75
Ho  0.6262  0.7500  0.1333  5 S 2.69-2.75
S  0.0508  0.2500  0.6600  1 Ho 2.73, 3 Dy 2.76-2.82, 2 La 3.01
S  0.2335  0.7500  0.9993  3 Ho 2.69-2.75, 3 La 2.95-2.96
S  0.4507  0.7500  0.3452  1 Ho 2.73, 3 Dy 2.75-2.79, 2 La 3.01
S  0.5493  0.2500  0.6548  1 Ho 2.73, 3 Dy 2.75-2.79, 2 La 3.01
S  0.7665  0.2500  0.0007  3 Ho 2.69-2.75, 3 La 2.95-2.96
S  0.9492  0.7500  0.3400  1 Ho 2.73, 3 Dy 2.76-2.82, 2 La 3.01

=====

Here is a relaxed LiCdRh2 crystal from the Alexandria database. Energies are from PBE.

Results
- formation enthalpy at 0 K (eV per atom) = -0.0052
- crystal system = trigonal
- magnetization (Bohr magnetons per cell) = 0.65

Lattice parameters (Å, degrees): 8.9895 8.9895 8.9895 18.10 18.10 18.10
Last column: nearest neighbours and their distance in Å.
Atoms (fractional coordinates):
Li  0.0000  0.0000  0.0000  6 Rh 2.67, 6 Li 2.83
Cd  0.5000  0.5000  0.5000  6 Rh 2.83, 6 Cd 2.83
Rh  0.2538  0.2538  0.2538  3 Li 2.67, 3 Cd 2.83, 6 Rh 2.83
Rh  0.7462  0.7462  0.7462  3 Li 2.67, 3 Cd 2.83, 6 Rh 2.83

=====

Q: What is the magnetization in the fourth record?
A: 1.87 Bohr magnetons per cell

=====

Q: Look up the magnetization of the sixth one.
A: 0.65 Bohr magnetons per cell